Pu2SeO2 (PBE, relaxed); DOS(E_F) = 1.78 states/eV/atom; crystal system = orthorhombic; uncorrected formation energy = -2560.1 meV per atom; electronic total energy = -10.97 eV per atom; magnetization = 10.00 μB per formula unit
1.0
-5.130 2.835 -2.007
-1.981 -5.532 1.963
2.808 3.246 4.613
Pu O Se
4 4 2
Cartesian
-2.609 -3.864 1.172 Pu
-1.992 -0.150 2.486 Pu
-4.502 1.167 -1.215 Pu
-0.737 -3.485 4.068 Pu
-4.103 0.041 3.340 O
-1.164 -2.325 2.048 O
-0.200 0.508 1.229 O
-1.565 -1.310 4.506 O
-3.556 -1.349 -0.022 Se
-2.939 2.366 1.292 Se



Ce4Au (PBE, relaxed); DOS(E_F) = 5.39 states/eV/atom; crystal system = cubic; E above lowest polymorph = 36.4 kJ/mol of atoms; electronic total energy = -5.12 eV per atom; magnetization = 5.56 μB per formula unit; energy of formation = 0.2851 eV per atom
1.0
5.715 0.000 0.000
0.000 5.715 0.000
0.000 0.000 5.715
Ce Au
4 1
Cartesian
0.000 2.857 2.857 Ce
2.857 0.000 2.857 Ce
2.857 2.857 0.000 Ce
0.000 0.000 0.000 Ce
2.857 2.857 2.857 Au



PmYHo (PBE, relaxed); DOS(E_F) = 1.73 states/eV/atom; crystal system = monoclinic; E above lowest polymorph = 4.8 kJ/mol of atoms; electronic total energy = -5.20 eV per atom; magnetization = 0.00 μB per formula unit; energy of formation = 0.0599 eV per atom
1.0
3.531 0.000 -0.041
0.000 5.379 -0.009
-1.638 0.017 10.312
Ho Pm Y
2 2 2
Cartesian
-0.766 1.360 9.436 Ho
2.659 4.035 0.826 Ho
-0.810 1.355 6.044 Pm
2.704 4.041 4.218 Pm
0.918 1.349 2.628 Y
0.975 4.047 7.635 Y



Mn2ZnC (PBE, relaxed); DOS(E_F) = 0.54 states/eV/atom; crystal system = trigonal; E above lowest polymorph = 0.3 kJ/mol of atoms; electronic total energy = -7.25 eV per atom; magnetization = 3.94 μB per formula unit; energy of formation = -0.0361 eV per atom
1.0
2.855 0.000 0.000
1.427 2.472 0.000
1.427 0.824 6.357
Zn C Mn
1 1 2
Cartesian
2.855 1.648 3.179 Zn
2.855 1.648 0.002 C
1.427 0.824 1.057 Mn
1.427 0.824 5.298 Mn



Hf8Zn2Rh (PBE, relaxed); DOS(E_F) = 1.16 states/eV/atom; crystal system = monoclinic; electronic total energy = -8.17 eV per atom; magnetization = 0.00 μB per formula unit; energy of formation = -0.0277 eV per atom
1.0
5.048 -0.282 -0.423
-1.236 7.299 -0.419
-1.236 -3.198 6.574
Hf Zn Rh
8 2 1
Cartesian
1.288 4.978 0.821 Hf
0.040 2.087 0.467 Hf
2.536 4.192 3.626 Hf
0.040 -0.373 2.106 Hf
1.288 -1.160 4.911 Hf
2.536 1.732 5.265 Hf
2.552 1.388 2.083 Hf
0.024 2.431 3.649 Hf
-1.236 -0.035 4.467 Zn
-1.236 4.136 1.688 Zn
2.524 -0.141 -0.212 Rh



HgAu (PBE, relaxed); DOS(E_F) = 0.45 states/eV/atom; crystal system = orthorhombic; electronic total energy = -1.73 eV per atom; magnetization = 0.00 μB per formula unit; energy of formation = 0.0639 eV per atom
1.0
-5.254 0.963 3.537
-1.178 -6.878 0.123
4.415 -0.636 6.731
Hg Au
8 8
Cartesian
-3.478 -4.776 3.635 Hg
-1.728 -1.211 7.667 Hg
1.961 -5.413 6.085 Hg
-0.788 -1.700 3.395 Hg
-1.948 -5.343 6.114 Hg
-4.449 -0.473 3.371 Hg
1.981 -2.448 7.659 Hg
0.383 -4.837 3.638 Hg
-0.683 -3.760 8.496 Au
-3.398 0.294 5.934 Au
1.301 -0.617 5.215 Au
-0.101 -6.528 7.970 Au
-2.923 -2.458 5.245 Au
-0.167 -3.014 5.833 Au
-1.728 -6.265 1.825 Au
-0.368 -3.853 1.043 Au



Cd2Ag7Pt2 (PBE, relaxed); DOS(E_F) = 0.28 states/eV/atom; crystal system = orthorhombic; electronic total energy = -3.06 eV per atom; magnetization = 0.00 μB per formula unit; energy of formation = 0.0169 eV per atom
1.0
-3.563 1.843 1.194
-1.850 -6.934 -2.161
1.751 -4.878 5.414
Cd Ag Pt
2 7 2
Cartesian
-0.644 -1.754 0.782 Cd
-3.018 -8.215 3.665 Cd
-2.119 -3.878 -0.346 Ag
-1.782 0.922 0.597 Ag
-3.124 -2.741 2.229 Ag
-1.543 -6.091 4.794 Ag
-3.303 -7.096 1.090 Ag
-0.538 -7.227 2.218 Ag
-0.358 -2.872 3.357 Ag
-1.032 -6.467 -0.441 Pt
0.934 -5.345 3.695 Pt



KHg2W (PBE, relaxed); DOS(E_F) = 0.81 states/eV/atom; crystal system = orthorhombic; E above lowest polymorph = 0.0 kJ/mol of atoms; electronic total energy = -2.98 eV per atom; magnetization = 0.00 μB per formula unit; energy of formation = 0.6877 eV per atom
1.0
-0.400 -1.029 -2.719
2.916 -0.179 -0.268
-0.251 -9.599 3.669
W K Hg
1 1 2
Cartesian
1.070 -7.803 1.258 W
1.195 -3.004 -0.576 K
-0.133 -5.086 1.944 Hg
-0.244 -9.312 3.560 Hg



AcLuCuIr (PBE, relaxed); DOS(E_F) = 0.77 states/eV/atom; crystal system = cubic; electronic total energy = -5.78 eV per atom; magnetization = 0.00 μB per formula unit; energy of formation = -0.3852 eV per atom
1.0
5.055 0.000 0.000
2.528 4.378 0.000
2.528 1.459 4.128
Ac Ir Lu Cu
1 1 1 1
Cartesian
5.055 2.919 2.064 Ac
7.583 4.378 3.096 Ir
0.000 0.000 0.000 Lu
2.528 1.459 1.032 Cu



TbGdMnAg (PBE, relaxed); DOS(E_F) = 1.09 states/eV/atom; crystal system = cubic; electronic total energy = -7.66 eV per atom; magnetization = 10.49 μB per formula unit; energy of formation = 0.0256 eV per atom
1.0
5.130 0.000 0.000
2.565 4.443 0.000
2.565 1.481 4.189
Gd Ag Mn Tb
1 1 1 1
Cartesian
2.565 1.481 1.047 Gd
0.000 0.000 0.000 Ag
5.130 2.962 2.094 Mn
7.695 4.443 3.142 Tb



> magnetization of number 7 (Cd2Ag7Pt2)?

0.00 μB per formula unit



> Look up the DOS(E_F) of the sixth one.

0.45 states/eV/atom